La2TaAs | PBE | relaxed

The structure in POSCAR format:
```
La2TaAs
1.0
-0.995 1.634 -3.421
1.492 -3.089 -1.909
-4.641 -6.228 -1.624
La Ta As
2 1 1
Cartesian
-4.528 -6.170 -1.629 La
-1.687 -4.716 -1.761 La
-1.285 -1.512 -2.594 Ta
-2.859 -6.171 -4.360 As
```

Properties
Calculated density ... 8.4 g/cm³
Spin magnetization ... 2.7 μB per formula unit
Energy ... -6.71 eV per atom



LaTa2As | PBE | relaxed

The structure in POSCAR format:
```
LaTa2As
1.0
4.309 0.000 0.000
0.000 3.538 0.018
0.000 1.735 6.097
As Ta La
1 2 1
Cartesian
0.000 1.974 2.899 As
2.154 1.984 1.241 Ta
0.000 3.754 0.902 Ta
2.154 3.735 4.150 La
```

Properties
Calculated density ... 10.3 g/cm³
Spin magnetization ... 0.0 μB per formula unit
Energy ... -8.51 eV per atom



La2TaAs | PBE | relaxed

The structure in POSCAR format:
```
La2TaAs
1.0
9.273 -0.013 -0.008
8.557 3.574 -0.008
8.557 1.709 3.139
La Ta As
2 1 1
Cartesian
0.406 0.081 0.048 La
6.398 1.278 0.757 La
12.722 2.540 1.506 Ta
20.054 4.005 2.374 As
```

Properties
Calculated density ... 8.5 g/cm³
Spin magnetization ... 0.0 μB per formula unit
Energy ... -6.75 eV per atom



LaTaAs | PBE | relaxed

The structure in POSCAR format:
```
LaTaAs
1.0
-0.707 -4.184 1.347
4.134 -3.342 -1.520
3.971 -1.122 5.680
As La Ta
2 2 2
Cartesian
4.477 -3.689 -0.387 As
2.916 -2.373 2.877 As
6.760 -7.154 4.247 La
4.111 -5.095 2.278 La
4.372 -6.330 5.766 Ta
1.976 -2.964 0.432 Ta
```

Properties
Calculated density ... 8.8 g/cm³
Spin magnetization ... 0.0 μB per formula unit
Distance to the lowest polymorph of the same formula ... 348 meV/atom